[1]
BaSn2Cl: optimized geometry, PBE.

a = 4.377 Å, b = 4.377 Å, c = 28.652 Å
α = 90.00°, β = 90.00°, γ = 90.00°
Space group I-42d (No. 122)
Asymmetric unit:
Ba  0.000  0.000  0.000 [4 per cell]
Sn  0.235  0.250  0.125 [8 per cell]
Cl  0.000  0.000  0.500 [4 per cell]

[2]
Ba4Sn6Cl19: optimized geometry, PBE.

a = 12.560 Å, b = 12.560 Å, c = 12.560 Å
α = 90.00°, β = 90.00°, γ = 90.00°
Space group I23 (No. 197)
Asymmetric unit:
Ba  0.144  0.144  0.144 [8 per cell]
Sn  0.000  0.135  0.500 [12 per cell]
Cl  0.000  0.000  0.000 [2 per cell]
Cl  0.000  0.000  0.287 [12 per cell]
Cl  0.052  0.281  0.344 [24 per cell]

Calculated energy relative to the elements, uncorrected in order - -0.8803, -1.5425 eV per atom
Calculated calculated total energy in order - -3.82, -3.85 eV per atom